## HfGa2Co (GGA-PBE)

Data for crystalline HfGa2Co at its relaxed geometry. Values from VASP.

```
&SYSTEM
  ibrav = 0, nat = 8, ntyp = 3
/
ATOMIC_SPECIES
Hf 178.49 Hf.upf
Ga 69.72 Ga.upf
Co 58.93 Co.upf
ATOMIC_POSITIONS crystal
Hf 0.006 0.250 0.307
Hf 0.994 0.750 0.693
Ga 0.345 0.250 0.952
Ga 0.450 0.750 0.398
Ga 0.550 0.250 0.602
Ga 0.655 0.750 0.048
Co 0.152 0.750 0.087
Co 0.848 0.250 0.913
CELL_PARAMETERS angstrom
4.737 0.000 0.000
0.000 4.092 0.000
-0.731 0.000 6.759
```



## HfGa2Co (GGA-PBE)

Data for crystalline HfGa2Co at its relaxed geometry. Values from VASP.

```
&SYSTEM
  ibrav = 0, nat = 32, ntyp = 3
/
ATOMIC_SPECIES
Hf 178.49 Hf.upf
Ga 69.72 Ga.upf
Co 58.93 Co.upf
ATOMIC_POSITIONS crystal
Hf 0.107 0.250 0.229
Hf 0.143 0.750 0.465
Hf 0.357 0.250 0.965
Hf 0.393 0.750 0.729
Hf 0.607 0.250 0.271
Hf 0.643 0.750 0.035
Hf 0.857 0.250 0.535
Hf 0.893 0.750 0.771
Ga 0.033 0.048 0.735
Ga 0.033 0.452 0.735
Ga 0.216 0.550 0.965
Ga 0.216 0.950 0.965
Ga 0.284 0.050 0.465
Ga 0.284 0.450 0.465
Ga 0.467 0.548 0.235
Ga 0.467 0.952 0.235
Ga 0.533 0.048 0.765
Ga 0.533 0.452 0.765
Ga 0.716 0.550 0.535
Ga 0.716 0.950 0.535
Ga 0.784 0.050 0.035
Ga 0.784 0.450 0.035
Ga 0.967 0.548 0.265
Ga 0.967 0.952 0.265
Co 0.075 0.750 0.997
Co 0.172 0.250 0.712
Co 0.328 0.750 0.212
Co 0.425 0.250 0.497
Co 0.575 0.750 0.503
Co 0.672 0.250 0.788
Co 0.828 0.750 0.288
Co 0.925 0.250 0.003
CELL_PARAMETERS angstrom
14.900 0.000 0.000
0.000 6.435 0.000
0.000 0.000 5.124
```



## Hf3GaCo (GGA-PBE)

Data for crystalline Hf3GaCo at its relaxed geometry. Values from VASP.

```
&SYSTEM
  ibrav = 0, nat = 10, ntyp = 3
/
ATOMIC_SPECIES
Hf 178.49 Hf.upf
Ga 69.72 Ga.upf
Co 58.93 Co.upf
ATOMIC_POSITIONS crystal
Hf 0.014 0.014 0.232
Hf 0.297 0.297 0.674
Hf 0.305 0.305 0.126
Hf 0.695 0.695 0.874
Hf 0.703 0.703 0.326
Hf 0.986 0.986 0.768
Ga 0.288 0.712 0.500
Ga 0.712 0.288 0.500
Co 0.294 0.706 0.000
Co 0.706 0.294 0.000
CELL_PARAMETERS angstrom
4.589 -2.909 0.000
4.589 2.909 0.000
-3.298 0.000 7.021
```



## Hf3Ga3Co2 (GGA-PBE)

Data for crystalline Hf3Ga3Co2 at its relaxed geometry. Values from VASP.

```
&SYSTEM
  ibrav = 0, nat = 16, ntyp = 3
/
ATOMIC_SPECIES
Hf 178.49 Hf.upf
Ga 69.72 Ga.upf
Co 58.93 Co.upf
ATOMIC_POSITIONS crystal
Hf 0.069 0.931 0.613
Hf 0.069 0.931 0.887
Hf 0.344 0.656 0.750
Hf 0.656 0.344 0.250
Hf 0.931 0.069 0.113
Hf 0.931 0.069 0.387
Ga 0.363 0.637 0.250
Ga 0.366 0.634 0.533
Ga 0.366 0.634 0.967
Ga 0.634 0.366 0.033
Ga 0.634 0.366 0.467
Ga 0.637 0.363 0.750
Co 0.197 0.803 0.112
Co 0.197 0.803 0.388
Co 0.803 0.197 0.612
Co 0.803 0.197 0.888
CELL_PARAMETERS angstrom
2.050 -4.876 0.000
2.050 4.876 0.000
0.000 0.000 13.130
```



## Hf3Ga2Co (GGA-PBE)

Data for crystalline Hf3Ga2Co at its relaxed geometry. Values from VASP.

```
&SYSTEM
  ibrav = 0, nat = 24, ntyp = 3
/
ATOMIC_SPECIES
Hf 178.49 Hf.upf
Ga 69.72 Ga.upf
Co 58.93 Co.upf
ATOMIC_POSITIONS crystal
Hf 0.046 0.250 0.147
Hf 0.151 0.750 0.588
Hf 0.226 0.250 0.815
Hf 0.274 0.750 0.315
Hf 0.349 0.250 0.088
Hf 0.454 0.750 0.647
Hf 0.546 0.250 0.353
Hf 0.651 0.750 0.912
Hf 0.726 0.250 0.685
Hf 0.774 0.750 0.185
Hf 0.849 0.250 0.412
Hf 0.954 0.750 0.853
Ga 0.007 0.750 0.342
Ga 0.175 0.750 0.018
Ga 0.325 0.250 0.518
Ga 0.493 0.250 0.842
Ga 0.507 0.750 0.158
Ga 0.675 0.750 0.482
Ga 0.825 0.250 0.982
Ga 0.993 0.250 0.658
Co 0.123 0.250 0.398
Co 0.377 0.750 0.898
Co 0.623 0.250 0.102
Co 0.877 0.750 0.602
CELL_PARAMETERS angstrom
10.790 0.000 0.000
0.000 4.113 0.000
0.000 0.000 9.676
```



## Hf2Ga8Co (GGA-PBE)

Data for crystalline Hf2Ga8Co at its relaxed geometry. Values from VASP.

```
&SYSTEM
  ibrav = 0, nat = 11, ntyp = 3
/
ATOMIC_SPECIES
Hf 178.49 Hf.upf
Ga 69.72 Ga.upf
Co 58.93 Co.upf
ATOMIC_POSITIONS crystal
Hf 0.193 0.193 0.090
Hf 0.807 0.807 0.910
Ga 0.014 0.014 0.761
Ga 0.215 0.215 0.598
Ga 0.375 0.375 0.228
Ga 0.397 0.397 0.724
Ga 0.603 0.603 0.276
Ga 0.625 0.625 0.772
Ga 0.785 0.785 0.402
Ga 0.986 0.986 0.239
Co 0.500 0.500 0.500
CELL_PARAMETERS angstrom
8.458 -2.002 0.000
8.458 2.002 0.000
-1.109 0.000 5.676
```



## Hf2Ga3Co (GGA-PBE)

Data for crystalline Hf2Ga3Co at its relaxed geometry. Values from VASP.

```
&SYSTEM
  ibrav = 0, nat = 6, ntyp = 3
/
ATOMIC_SPECIES
Hf 178.49 Hf.upf
Ga 69.72 Ga.upf
Co 58.93 Co.upf
ATOMIC_POSITIONS crystal
Hf 0.000 0.000 0.000
Hf 0.095 0.095 0.595
Ga 0.375 0.375 0.171
Ga 0.404 0.404 0.631
Ga 0.716 0.716 0.388
Co 0.722 0.722 0.999
CELL_PARAMETERS angstrom
4.846 -2.084 0.000
4.846 2.084 0.000
-4.175 0.000 4.886
```



## Hf3Ga3Co2 (GGA-PBE)

Data for crystalline Hf3Ga3Co2 at its relaxed geometry. Values from VASP.

```
&SYSTEM
  ibrav = 0, nat = 32, ntyp = 3
/
ATOMIC_SPECIES
Hf 178.49 Hf.upf
Ga 69.72 Ga.upf
Co 58.93 Co.upf
ATOMIC_POSITIONS crystal
Hf 0.030 0.114 0.110
Hf 0.030 0.386 0.110
Hf 0.175 0.250 0.639
Hf 0.325 0.750 0.139
Hf 0.470 0.614 0.610
Hf 0.470 0.886 0.610
Hf 0.530 0.114 0.390
Hf 0.530 0.386 0.390
Hf 0.675 0.250 0.861
Hf 0.825 0.750 0.361
Hf 0.970 0.614 0.890
Hf 0.970 0.886 0.890
Ga 0.183 0.750 0.631
Ga 0.188 0.032 0.600
Ga 0.188 0.468 0.600
Ga 0.312 0.532 0.100
Ga 0.312 0.968 0.100
Ga 0.317 0.250 0.131
Ga 0.683 0.750 0.869
Ga 0.688 0.032 0.900
Ga 0.688 0.468 0.900
Ga 0.812 0.532 0.400
Ga 0.812 0.968 0.400
Ga 0.817 0.250 0.369
Co 0.091 0.614 0.353
Co 0.091 0.886 0.353
Co 0.409 0.114 0.853
Co 0.409 0.386 0.853
Co 0.591 0.614 0.147
Co 0.591 0.886 0.147
Co 0.909 0.114 0.647
Co 0.909 0.386 0.647
CELL_PARAMETERS angstrom
7.447 0.000 0.000
0.000 13.436 0.000
0.000 0.000 5.257
```



## Hf3Ga2Co6 (GGA-PBE)

Data for crystalline Hf3Ga2Co6 at its relaxed geometry. Values from VASP.

```
&SYSTEM
  ibrav = 0, nat = 22, ntyp = 3
/
ATOMIC_SPECIES
Hf 178.49 Hf.upf
Ga 69.72 Ga.upf
Co 58.93 Co.upf
ATOMIC_POSITIONS crystal
Hf 0.000 0.287 0.287
Hf 0.000 0.713 0.713
Hf 0.287 0.000 0.287
Hf 0.287 0.287 0.000
Hf 0.713 0.000 0.713
Hf 0.713 0.713 0.000
Ga 0.000 0.000 0.500
Ga 0.000 0.500 0.000
Ga 0.500 0.000 0.000
Ga 0.500 0.500 0.500
Co 0.000 0.349 0.651
Co 0.000 0.651 0.349
Co 0.303 0.651 0.651
Co 0.349 0.000 0.651
Co 0.349 0.349 0.697
Co 0.349 0.651 0.000
Co 0.349 0.697 0.349
Co 0.651 0.000 0.349
Co 0.651 0.303 0.651
Co 0.651 0.349 0.000
Co 0.651 0.651 0.303
Co 0.697 0.349 0.349
CELL_PARAMETERS angstrom
-4.259 4.259 4.259
4.259 -4.259 4.259
4.259 4.259 -4.259
```



## Hf2Ga6Co (GGA-PBE)

Data for crystalline Hf2Ga6Co at its relaxed geometry. Values from VASP.

```
&SYSTEM
  ibrav = 0, nat = 9, ntyp = 3
/
ATOMIC_SPECIES
Hf 178.49 Hf.upf
Ga 69.72 Ga.upf
Co 58.93 Co.upf
ATOMIC_POSITIONS crystal
Hf 0.232 0.000 0.465
Hf 0.768 0.000 0.535
Ga 0.160 0.500 0.732
Ga 0.195 0.000 0.001
Ga 0.430 0.500 0.269
Ga 0.570 0.500 0.731
Ga 0.805 0.000 0.999
Ga 0.840 0.500 0.268
Co 0.500 0.500 0.000
CELL_PARAMETERS angstrom
6.306 0.000 0.000
0.000 2.978 0.000
-3.127 0.000 8.395
```



## HfGaCo3 (GGA-PBE)

Data for crystalline HfGaCo3 at its relaxed geometry. Values from VASP.

```
&SYSTEM
  ibrav = 0, nat = 5, ntyp = 3
/
ATOMIC_SPECIES
Hf 178.49 Hf.upf
Ga 69.72 Ga.upf
Co 58.93 Co.upf
ATOMIC_POSITIONS crystal
Hf 0.000 0.000 0.000
Ga 0.500 0.500 0.500
Co 0.000 0.500 0.500
Co 0.500 0.000 0.500
Co 0.500 0.500 0.000
CELL_PARAMETERS angstrom
4.237 0.000 0.000
0.000 4.237 0.000
0.000 0.000 4.237
```



## Hf3GaCo (GGA-PBE)

Data for crystalline Hf3GaCo at its relaxed geometry. Values from VASP.

```
&SYSTEM
  ibrav = 0, nat = 5, ntyp = 3
/
ATOMIC_SPECIES
Hf 178.49 Hf.upf
Ga 69.72 Ga.upf
Co 58.93 Co.upf
ATOMIC_POSITIONS crystal
Hf 0.000 0.000 0.500
Hf 0.000 0.500 0.000
Hf 0.500 0.000 0.000
Ga 0.500 0.500 0.500
Co 0.000 0.000 0.000
CELL_PARAMETERS angstrom
4.742 0.000 0.000
0.000 4.742 0.000
0.000 0.000 4.742
```



## Hf5GaCo (GGA-PBE)

Data for crystalline Hf5GaCo at its relaxed geometry. Values from VASP.

```
&SYSTEM
  ibrav = 0, nat = 14, ntyp = 3
/
ATOMIC_SPECIES
Hf 178.49 Hf.upf
Ga 69.72 Ga.upf
Co 58.93 Co.upf
ATOMIC_POSITIONS crystal
Hf 0.002 0.998 0.750
Hf 0.082 0.440 0.628
Hf 0.221 0.516 0.937
Hf 0.440 0.082 0.128
Hf 0.484 0.779 0.563
Hf 0.516 0.221 0.437
Hf 0.560 0.918 0.872
Hf 0.779 0.484 0.063
Hf 0.918 0.560 0.372
Hf 0.998 0.002 0.250
Ga 0.388 0.612 0.250
Ga 0.612 0.388 0.750
Co 0.000 0.000 0.000
Co 0.000 0.000 0.500
CELL_PARAMETERS angstrom
3.851 -3.578 0.000
3.851 3.578 0.000
-2.767 0.000 10.039
```



## Hf4Ga3Co (GGA-PBE)

Data for crystalline Hf4Ga3Co at its relaxed geometry. Values from VASP.

```
&SYSTEM
  ibrav = 0, nat = 8, ntyp = 3
/
ATOMIC_SPECIES
Hf 178.49 Hf.upf
Ga 69.72 Ga.upf
Co 58.93 Co.upf
ATOMIC_POSITIONS crystal
Hf 0.000 0.000 0.000
Hf 0.000 0.500 0.279
Hf 0.500 0.000 0.480
Hf 0.500 0.500 0.792
Ga 0.000 0.000 0.720
Ga 0.000 0.500 0.560
Ga 0.500 0.500 0.066
Co 0.500 0.000 0.227
CELL_PARAMETERS angstrom
3.714 0.000 0.000
0.000 3.864 0.000
0.000 0.000 10.095
```



## HfGa3Co (GGA-PBE)

Data for crystalline HfGa3Co at its relaxed geometry. Values from VASP.

```
&SYSTEM
  ibrav = 0, nat = 20, ntyp = 3
/
ATOMIC_SPECIES
Hf 178.49 Hf.upf
Ga 69.72 Ga.upf
Co 58.93 Co.upf
ATOMIC_POSITIONS crystal
Hf 0.124 0.876 0.750
Hf 0.356 0.644 0.250
Hf 0.644 0.356 0.750
Hf 0.876 0.124 0.250
Ga 0.118 0.882 0.079
Ga 0.118 0.882 0.421
Ga 0.169 0.454 0.750
Ga 0.317 0.317 0.000
Ga 0.317 0.317 0.500
Ga 0.454 0.169 0.250
Ga 0.546 0.831 0.750
Ga 0.683 0.683 0.000
Ga 0.683 0.683 0.500
Ga 0.831 0.546 0.250
Ga 0.882 0.118 0.579
Ga 0.882 0.118 0.921
Co 0.000 0.500 0.000
Co 0.000 0.500 0.500
Co 0.500 0.000 0.000
Co 0.500 0.000 0.500
CELL_PARAMETERS angstrom
3.603 -5.120 0.000
3.603 5.120 0.000
0.000 0.000 8.713
```



## Hf2Ga4Co (GGA-PBE)

Data for crystalline Hf2Ga4Co at its relaxed geometry. Values from VASP.

```
&SYSTEM
  ibrav = 0, nat = 7, ntyp = 3
/
ATOMIC_SPECIES
Hf 178.49 Hf.upf
Ga 69.72 Ga.upf
Co 58.93 Co.upf
ATOMIC_POSITIONS crystal
Hf 0.142 0.142 0.000
Hf 0.858 0.858 0.000
Ga 0.000 0.500 0.500
Ga 0.331 0.331 0.000
Ga 0.500 0.000 0.500
Ga 0.669 0.669 0.000
Co 0.500 0.500 0.000
CELL_PARAMETERS angstrom
-2.167 2.167 6.969
2.167 -2.167 6.969
2.167 2.167 -6.969
```



## Hf2Ga3Co (GGA-PBE)

Data for crystalline Hf2Ga3Co at its relaxed geometry. Values from VASP.

```
&SYSTEM
  ibrav = 0, nat = 18, ntyp = 3
/
ATOMIC_SPECIES
Hf 178.49 Hf.upf
Ga 69.72 Ga.upf
Co 58.93 Co.upf
ATOMIC_POSITIONS crystal
Hf 0.182 0.697 0.439
Hf 0.241 0.759 0.000
Hf 0.473 0.965 0.546
Hf 0.697 0.182 0.439
Hf 0.759 0.241 0.000
Hf 0.965 0.473 0.546
Ga 0.059 0.059 0.335
Ga 0.100 0.100 0.785
Ga 0.346 0.346 0.031
Ga 0.379 0.379 0.656
Ga 0.492 0.967 0.040
Ga 0.558 0.558 0.335
Ga 0.603 0.603 0.786
Ga 0.878 0.878 0.672
Ga 0.967 0.492 0.040
Co 0.222 0.222 0.241
Co 0.723 0.723 0.265
Co 0.850 0.850 0.026
CELL_PARAMETERS angstrom
6.523 -4.066 0.000
6.523 4.066 0.000
-2.921 0.000 5.583
```



## HfGaCo3 (GGA-PBE)

Data for crystalline HfGaCo3 at its relaxed geometry. Values from VASP.

```
&SYSTEM
  ibrav = 0, nat = 5, ntyp = 3
/
ATOMIC_SPECIES
Hf 178.49 Hf.upf
Ga 69.72 Ga.upf
Co 58.93 Co.upf
ATOMIC_POSITIONS crystal
Hf 0.000 0.000 0.000
Ga 0.500 0.500 0.500
Co 0.000 0.000 0.500
Co 0.000 0.500 0.000
Co 0.500 0.000 0.000
CELL_PARAMETERS angstrom
4.518 0.000 0.000
0.000 4.518 0.000
0.000 0.000 4.518
```



## Hf3Ga4Co2 (GGA-PBE)

Data for crystalline Hf3Ga4Co2 at its relaxed geometry. Values from VASP.

```
&SYSTEM
  ibrav = 0, nat = 9, ntyp = 3
/
ATOMIC_SPECIES
Hf 178.49 Hf.upf
Ga 69.72 Ga.upf
Co 58.93 Co.upf
ATOMIC_POSITIONS crystal
Hf 0.000 0.000 0.000
Hf 0.358 0.358 0.320
Hf 0.642 0.642 0.680
Ga 0.075 0.075 0.390
Ga 0.289 0.289 0.930
Ga 0.711 0.711 0.070
Ga 0.925 0.925 0.610
Co 0.318 0.318 0.638
Co 0.682 0.682 0.362
CELL_PARAMETERS angstrom
4.963 -2.053 0.000
4.963 2.053 0.000
-2.856 0.000 7.232
```



The records above yield energy of formation from the pure elements values of -323.3, -462.4, -300.3, -490.2, -429.8, -249.3, -458.1, -469.8, -436.8, -184.3, 483.0, 88.7, -65.8, -460.6, -188.6, 59.0, -448.6, 1308.4, -455.8 meV/atom, respectively.